[1]
This record from Alexandria describes an optimized crystal structure of V6CrW2. The functional is PBE-GGA.

The volume comes out at 14.020 Å³ per atom. For the density of states at the Fermi level, the calculation gives 10.882 states/eV/f.u. Its energy relative to the elements is 0.08 eV/atom. The calculation puts the magnetic moment at 0.000 μB/cell. The calculation puts the distance to the lowest polymorph of the same formula at 0.00 eV/f.u.

extended XYZ file:
```
18
Lattice="4.185 -1.208 -2.037 -3.011 8.094 -1.188 -0.555 -0.068 8.700" Properties=species:S:1:pos:R:3 pbc="T T T"
V 0.155 2.196 3.375
V -1.173 3.709 4.954
V 0.464 4.621 2.099
V 1.792 3.108 0.520
V 3.258 -0.464 3.117
V 0.682 2.596 6.283
V -2.639 7.281 2.357
V -0.063 4.222 -0.808
V -0.400 1.144 8.061
V 0.927 -0.369 6.483
V 1.019 5.673 -2.587
V -0.308 7.186 -1.008
Cr -1.351 5.752 0.775
Cr 1.970 1.066 4.700
W -1.096 2.686 1.055
W -0.787 6.094 3.793
W 1.715 4.132 4.419
W 1.406 0.723 1.682
```



[2]
This record from Alexandria describes an optimized crystal structure of ZnPdAu14. The functional is PBE-GGA.

The volume comes out at 17.717 Å³ per atom. For the density of states at the Fermi level, the calculation gives 4.437 states/eV/f.u. Its energy relative to the elements is -0.04 eV/atom. The calculation puts the magnetic moment at 0.000 μB/cell.

extended XYZ file:
```
16
Lattice="5.776 -0.226 0.000 -2.472 5.225 0.000 0.000 0.000 9.570" Properties=species:S:1:pos:R:3 pbc="T T T"
Zn 2.059 2.230 4.785
Pd -2.065 4.956 4.785
Au -0.821 4.134 0.000
Au 3.308 1.405 0.000
Au -0.821 2.334 4.785
Au 0.433 1.523 0.000
Au 0.835 4.839 4.785
Au 2.072 4.003 0.000
Au 1.852 0.588 7.102
Au 1.852 0.588 2.468
Au 3.489 3.064 7.102
Au 3.489 3.064 2.468
Au 0.623 3.180 7.134
Au 0.623 3.180 2.436
Au 4.752 0.451 7.168
Au 4.752 0.451 2.402
```



[3]
This record from Alexandria describes an optimized crystal structure of SmPa2Ir. The functional is PBE-GGA.

The volume comes out at 27.664 Å³ per atom. For the density of states at the Fermi level, the calculation gives 9.006 states/eV/f.u. Its energy relative to the elements is 0.07 eV/atom. The calculation puts the magnetic moment at 0.001 μB/cell.

extended XYZ file:
```
4
Lattice="3.561 0.000 0.000 1.780 3.084 0.000 1.780 1.028 10.078" Properties=species:S:1:pos:R:3 pbc="T T T"
Pa 1.780 1.028 6.911
Pa 5.341 3.084 3.167
Sm 0.000 0.000 0.000
Ir 3.561 2.056 5.039
```



[4]
This record from Alexandria describes an optimized crystal structure of Fe2AsPt. The functional is PBE-GGA.

The volume comes out at 14.101 Å³ per atom. For the density of states at the Fermi level, the calculation gives 3.844 states/eV/f.u. Its energy relative to the elements is -0.01 eV/atom. The calculation puts the magnetic moment at 5.288 μB/cell.

extended XYZ file:
```
4
Lattice="4.422 -0.005 0.012 3.482 2.725 0.012 0.622 0.214 4.676" Properties=species:S:1:pos:R:3 pbc="T T T"
As 2.180 0.750 1.001
Fe 0.704 0.242 4.664
Fe 6.350 2.185 3.640
Pt 4.178 1.438 2.419
```



[5]
This record from Alexandria describes an optimized crystal structure of CeBeRu2. The functional is PBE-GGA.

The volume comes out at 15.612 Å³ per atom. For the density of states at the Fermi level, the calculation gives 3.748 states/eV/f.u. Its energy relative to the elements is -0.05 eV/atom. The calculation puts the magnetic moment at 0.000 μB/cell. The calculation puts the distance to the lowest polymorph of the same formula at 0.32 eV/f.u.

extended XYZ file:
```
4
Lattice="3.146 0.000 0.000 0.000 3.146 0.000 0.000 0.000 6.310" Properties=species:S:1:pos:R:3 pbc="T T T"
Ru 0.000 0.000 5.031
Ru 0.000 0.000 1.280
Ce 1.573 1.573 3.155
Be 1.573 1.573 0.000
```



[6]
This record from Alexandria describes an optimized crystal structure of TbSc2Se3. The functional is PBE-GGA.

The volume comes out at 21.861 Å³ per atom. For the density of states at the Fermi level, the calculation gives 3.312 states/eV/f.u. Its raw formation energy is -1639 meV per atom. The calculation puts the magnetic moment at 0.000 μB/cell.

extended XYZ file:
```
6
Lattice="-2.798 -2.425 -1.390 2.602 -0.165 -4.951 3.252 -3.384 4.984" Properties=species:S:1:pos:R:3 pbc="T T T"
Tb 1.528 -2.987 -0.679
Sc 0.444 -2.819 -4.416
Sc 2.612 -3.155 3.059
Se -0.995 -2.532 -2.020
Se 4.051 -3.442 0.662
Se 0.227 -2.904 1.797
```